Entry from Alexandria via LeMat-Bulk: a relaxed TaHg2Sb crystal (PBE).

uncorrected formation energy	280	meV per atom

abc: 3.677 3.677 6.454
angles: 90.00 90.00 90.00
Element x y z (fractional)
Hg1 0.000 0.000 0.997
Hg2 0.500 0.500 0.239
Sb1 0.000 0.000 0.534
Ta1 0.500 0.500 0.730

***

Entry from Alexandria via LeMat-Bulk: a relaxed Ta3CoSn crystal (PBE).

ΔE_f	527	meV/atom
polymorph energy (0 for the lowest one)	0.000	eV/atom

abc: 4.612 4.612 4.612
angles: 90.00 90.00 90.00
Element x y z (fractional)
Co1 0.000 0.000 0.000
Sn1 0.500 0.500 0.500
Ta1 0.000 0.500 0.000
Ta2 0.000 0.000 0.500
Ta3 0.500 0.000 0.000

***

Entry from Alexandria via LeMat-Bulk: a relaxed Fe3SnSb crystal (PBE).

uncorrected formation energy	161	meV per atom
polymorph energy (0 for the lowest one)	0.000	eV/atom

abc: 4.206 4.206 5.420
angles: 90.00 90.00 60.00
Last column: magnetic moment on the atom in μB.
Element x y z (fractional)
Fe1 0.333 0.333 0.339  1.44
Fe2 0.667 0.667 0.656  1.71
Fe3 0.000 0.000 0.503  2.68
Sn1 0.333 0.333 0.822  -0.09
Sb1 0.667 0.667 0.179  -0.04

***

Entry from Alexandria via LeMat-Bulk: a relaxed TaOs crystal (PBE).

ΔE_f	137	meV/atom

abc: 4.033 4.033 5.286
angles: 90.00 90.00 120.00
Element x y z (fractional)
Os1 0.000 0.000 0.000
Os2 0.000 0.000 0.500
Ta1 0.333 0.667 0.250
Ta2 0.667 0.333 0.750

***

Entry from Alexandria via LeMat-Bulk: a relaxed ScIr crystal (PBE).

ΔE_f	-636	meV/atom

abc: 6.910 6.910 5.408
angles: 73.68 73.68 25.42
Element x y z (fractional)
Sc1 0.170 0.170 0.234
Sc2 0.500 0.500 0.000
Sc3 0.830 0.830 0.766
Ir1 0.165 0.165 0.738
Ir2 0.500 0.500 0.500
Ir3 0.835 0.835 0.262

***

Entry from Alexandria via LeMat-Bulk: a relaxed ZrNiP2 crystal (PBE).

ΔE_f	-689	meV/atom

abc: 5.883 5.883 5.883
angles: 35.62 35.62 35.62
Element x y z (fractional)
Ni1 0.675 0.675 0.675
P1 0.065 0.065 0.065
P2 0.264 0.264 0.264
Zr1 0.496 0.496 0.496

***

Calculated total energy list, top to bottom, in eV/atom: -3.86, -8.81, -6.54, -11.40, -8.23, -6.98